A plane-wave DFT calculation with PBE was carried out for a relaxed Rb2SrZnI6 crystal.

Space group: P-1
Size of the total moment: 0.000 μB/f.u.
Formation energy from raw total energies: -1.2030 eV per atom

Unit cell a=8.6509 b=8.6489 c=8.4454 alpha=59.15 beta=59.20 gamma=59.99
Positions (direct):
Rb (0.5524, 0.5524, 0.3434)
Sr (0.8160, 0.8162, 0.5514)
I (0.0901, 0.4750, 0.8100)
Zn (0.3161, 0.3160, 0.0513)
I (0.6247, 0.0889, 0.8110)
I (0.0079, 0.5434, 0.2921)
I (0.1567, 0.0080, 0.2936)
I (0.4755, 0.6244, 0.8099)
I (0.5421, 0.1573, 0.2930)
Rb (0.0802, 0.0800, 0.7594)

A plane-wave DFT calculation with PBE was carried out for a relaxed Rb3TaI6 crystal.

Space group: Fm-3m
Size of the total moment: 2.000 μB/f.u.
Formation energy from raw total energies: -0.9066 eV per atom

Unit cell a=8.8877 b=8.8877 c=8.8876 alpha=60.00 beta=60.00 gamma=90.00
Positions (direct):
Ta (0.0000, 0.0000, 0.0000)
Rb (0.7500, 0.2500, 0.5000)
I (0.2256, 0.2256, 0.5488)
I (0.2256, 0.2256, 0.0000)
I (0.2256, 0.7744, 0.0000)
Rb (0.2500, 0.7500, 0.5000)
Rb (0.5000, 0.5000, 0.0000)
I (0.7744, 0.7744, 0.4512)
I (0.7744, 0.2256, 0.0000)
I (0.7744, 0.7744, 0.0000)

A plane-wave DFT calculation with PBE was carried out for a relaxed Rb6TaI12 crystal.

Space group: R-3
Size of the total moment: 1.245 μB/f.u.
Formation energy from raw total energies: -1.0035 eV per atom

Unit cell a=10.4856 b=10.4856 c=10.4856 alpha=88.62 beta=88.62 gamma=88.62
Positions (direct):
Rb (0.6578, 0.8276, 0.3292)
Ta (0.0000, 0.0000, 0.0000)
I (0.0055, 0.9994, 0.7351)
I (0.6229, 0.1457, 0.4570)
I (0.8543, 0.5430, 0.3771)
I (0.9994, 0.7351, 0.0055)
I (0.4570, 0.6229, 0.1457)
I (0.3771, 0.8543, 0.5430)
Rb (0.3422, 0.1724, 0.6708)
Rb (0.1724, 0.6708, 0.3422)
I (0.7351, 0.0055, 0.9994)
I (0.2649, 0.9945, 0.0006)
I (0.9945, 0.0006, 0.2649)
Rb (0.6708, 0.3422, 0.1724)
Rb (0.3292, 0.6578, 0.8276)
I (0.5430, 0.3771, 0.8543)
Rb (0.8276, 0.3292, 0.6578)
I (0.0006, 0.2649, 0.9945)
I (0.1457, 0.4570, 0.6229)

no.,D(E_F) (states/eV/f.u.)
1,0.0
2,11.9
3,11.8